Entry 1:
A relaxed structure of La6PmDy4. Source: Alexandria, functional PBE-GGA.

Summary:
Total energy   -4.658 eV/atom
SG   P-6m2, No. 187
Density   6.86 g/cm³
Total magnetic moment   0.00 μB per cell
Energy of formation from the pure elements   0.135 eV per atom

```
La6PmDy4
1.0
-1.634 -2.673 -1.821
8.167 -7.056 3.030
-9.090 1.156 6.457
Pm La Dy
1 6 4
Cartesian
0.000 0.000 0.000 Pm
3.415 -6.110 5.902 La
-3.063 -4.871 6.291 La
-2.645 -2.203 2.001 La
3.798 -3.663 1.969 La
0.029 -3.184 4.646 La
-6.756 -1.680 4.921 La
-0.144 -6.480 6.034 Dy
4.598 -7.083 2.666 Dy
0.338 -3.403 1.086 Dy
-3.338 -1.581 5.315 Dy
```

***

Entry 2:
A relaxed structure of Ni2HgSe. Source: Alexandria, functional PBE-GGA.

Summary:
Total energy   -3.605 eV/atom
Formation energy from raw total energies   232.4 meV per atom
SG   P4/mmm, No. 123
Density   10.73 g/cm³
Total magnetic moment   0.00 μB per cell

```
Ni2HgSe
1.0
-4.406 -0.375 0.412
0.557 -3.056 3.179
0.010 2.244 2.155
Se Ni Hg
1 2 1
Cartesian
-2.198 0.934 1.283 Se
0.000 0.000 0.000 Ni
-1.924 -1.716 1.795 Ni
0.284 -0.406 2.667 Hg
```

***

Entry 3:
A relaxed structure of CaCr2W. Source: Alexandria, functional PBE-GGA.

Summary:
Total energy   -7.527 eV/atom
SG   I-4m2, No. 119
Density   7.95 g/cm³
Total magnetic moment   2.26 μB per cell
Energy of formation from the pure elements   1.023 eV per atom

```
CaCr2W
1.0
-4.333 2.659 -2.034
-4.992 -2.249 0.001
4.184 0.858 3.426
W Cr Ca
1 2 1
Cartesian
-4.662 0.205 -1.017 W
0.000 0.000 0.000 Cr
-2.735 -0.593 1.205 Cr
-2.406 1.861 0.188 Ca
```

***

Entry 4:
A relaxed structure of Ca3DyCd4. Source: Alexandria, functional PBE-GGA.

Summary:
Total energy   -2.131 eV/atom
SG   P4/mmm, No. 123
Density   5.50 g/cm³
Total magnetic moment   0.00 μB per cell
Energy of formation from the pure elements   -0.348 eV per atom

```
Ca3DyCd4
1.0
3.809 0.000 0.000
0.000 3.809 0.000
0.000 0.000 15.242
Cd Ca Dy
4 3 1
Cartesian
0.000 0.000 13.451 Cd
0.000 0.000 1.790 Cd
0.000 0.000 9.547 Cd
0.000 0.000 5.694 Cd
1.905 1.905 11.481 Ca
1.905 1.905 3.760 Ca
1.905 1.905 7.621 Ca
1.905 1.905 0.000 Dy
```

***

Entry 5:
A relaxed structure of Ac4OsSeBr2. Source: Alexandria, functional PBE-GGA.

Summary:
Total energy   -5.446 eV/atom
Formation energy from raw total energies   -1134.1 meV per atom
SG   P2/m, No. 10
Density   7.91 g/cm³
Total magnetic moment   0.00 μB per cell

```
Ac4OsSeBr2
1.0
-1.719 0.809 3.901
5.417 -4.967 3.417
3.429 7.588 -0.062
Ac Se Os Br
4 1 1 2
Cartesian
5.868 2.732 4.433 Ac
1.259 0.698 2.824 Ac
4.504 -2.011 2.402 Ac
4.343 4.632 0.954 Ac
0.000 0.000 0.000 Se
1.849 -2.079 3.659 Os
4.423 1.310 1.678 Br
0.855 4.198 1.920 Br
```

***

Entry 6:
A relaxed structure of SmGd2Pb. Source: Alexandria, functional PBE-GGA.

Summary:
Total energy   -9.476 eV/atom
SG   P4/mmm, No. 123
Density   9.39 g/cm³
Total magnetic moment   15.20 μB per cell
Energy of formation from the pure elements   -0.328 eV per atom

```
SmGd2Pb
1.0
4.939 0.000 0.000
0.000 4.906 0.000
0.000 0.000 4.906
Sm Gd Pb
1 2 1
Cartesian
2.470 0.000 0.000 Sm
0.000 2.453 0.000 Gd
0.000 0.000 2.453 Gd
2.470 2.453 2.453 Pb
```

***

Entry 7:
A relaxed structure of PrZn2Cd. Source: Alexandria, functional PBE-GGA.

Summary:
Total energy   -2.232 eV/atom
SG   P4/mmm, No. 123
Density   6.93 g/cm³
Total magnetic moment   0.00 μB per cell
Energy of formation from the pure elements   -0.171 eV per atom

```
PrZn2Cd
1.0
4.223 0.000 0.000
0.000 4.670 0.000
0.000 0.000 4.670
Zn Cd Pr
2 1 1
Cartesian
0.000 2.335 0.000 Zn
0.000 0.000 2.335 Zn
2.111 0.000 0.000 Cd
2.111 2.335 2.335 Pr
```

***

Entry 8:
A relaxed structure of Y2FeBN. Source: Alexandria, functional PBE-GGA.

Summary:
Total energy   -7.373 eV/atom
Formation energy from raw total energies   -94.3 meV per atom
SG   P4/mmm, No. 123
Density   5.65 g/cm³
Total magnetic moment   1.52 μB per cell

```
Y2FeBN
1.0
-4.041 -1.071 2.699
-1.413 -1.026 -2.523
1.783 -4.565 0.858
Fe B N Y
1 1 1 2
Cartesian
-1.835 -3.331 0.517 Fe
-0.706 -0.513 -1.262 B
0.000 0.000 0.000 N
-2.020 -0.536 1.349 Y
0.892 -2.283 0.429 Y
```

***

Entry 9:
A relaxed structure of Y2TmF11. Source: Alexandria, functional PBE-GGA.

Summary:
Total energy   -6.160 eV/atom
Formation energy from raw total energies   -3446.5 meV per atom
SG   Ibam, No. 72
Density   3.94 g/cm³
Total magnetic moment   4.21 μB per cell

```
Y2TmF11
1.0
7.413 0.000 3.864
3.415 7.466 2.491
0.243 -0.077 8.576
F Tm Y
22 2 4
Cartesian
9.418 6.014 7.109 F
5.346 5.147 5.877 F
1.098 1.355 5.133 F
3.604 2.128 5.799 F
9.973 6.035 9.799 F
9.615 6.955 12.351 F
4.288 0.126 8.055 F
2.587 4.129 7.750 F
1.456 0.434 2.580 F
8.484 3.260 7.182 F
7.869 5.126 4.793 F
4.940 1.567 3.235 F
0.000 0.000 0.000 F
6.783 7.263 6.876 F
6.131 5.823 11.696 F
5.725 2.243 9.054 F
3.646 3.898 3.852 F
1.654 1.375 7.822 F
7.467 5.261 9.132 F
7.425 3.491 11.080 F
5.536 3.695 7.466 F
3.202 2.263 10.139 F
2.768 1.847 3.733 Tm
8.303 5.542 11.198 Tm
4.010 6.031 4.273 Y
7.061 1.358 10.658 Y
3.734 2.260 7.999 Y
7.337 5.130 6.933 Y
```

***

Entry 10:
A relaxed structure of Tb3Hg5. Source: Alexandria, functional PBE-GGA.

Summary:
Total energy   -2.359 eV/atom
SG   Cmmm, No. 65
Density   12.12 g/cm³
Total magnetic moment   0.00 μB per cell
Energy of formation from the pure elements   -0.434 eV per atom

```
Tb3Hg5
1.0
5.097 0.000 0.000
0.000 6.406 -0.452
0.000 -1.259 6.297
Tb Hg
3 5
Cartesian
0.000 2.573 2.922 Tb
2.548 4.768 0.990 Tb
2.548 0.378 4.855 Tb
0.000 -0.629 3.148 Hg
2.548 3.690 4.190 Hg
2.548 1.457 1.655 Hg
0.000 0.000 0.000 Hg
0.000 3.203 -0.226 Hg
```

***

Entry 11:
A relaxed structure of Tb3SiPb2. Source: Alexandria, functional PBE-GGA.

Summary:
Total energy   -4.933 eV/atom
Formation energy from raw total energies   -478.1 meV per atom
SG   Pnma, No. 62
Density   9.24 g/cm³
Total magnetic moment   0.00 μB per cell

```
Tb3SiPb2
1.0
4.345 0.000 0.000
0.000 12.011 0.000
0.000 0.000 12.667
Tb Pb Si
12 8 4
Cartesian
3.259 11.504 1.420 Tb
1.086 9.354 9.502 Tb
1.086 0.507 11.247 Tb
1.086 1.432 7.073 Tb
1.086 5.498 4.914 Tb
3.259 7.438 11.928 Tb
1.086 8.663 3.169 Tb
3.259 6.513 7.753 Tb
3.259 2.657 3.165 Tb
1.086 4.573 0.739 Tb
3.259 10.579 5.594 Tb
3.259 3.349 9.498 Tb
3.259 2.527 12.466 Pb
3.259 11.941 8.726 Pb
3.259 6.076 2.392 Pb
1.086 0.070 3.941 Pb
1.086 5.935 10.275 Pb
3.259 3.479 6.132 Pb
1.086 8.532 6.535 Pb
1.086 9.484 0.201 Pb
1.086 4.459 7.875 Si
3.259 7.552 4.792 Si
3.259 10.464 11.126 Si
1.086 1.547 1.541 Si
```

***

Question: The lowest density belongs to which entry?
Answer: Y2TmF11

***

Copy entry 2 word for word.
A relaxed structure of Ni2HgSe. Source: Alexandria, functional PBE-GGA.

Summary:
Total energy   -3.605 eV/atom
Formation energy from raw total energies   232.4 meV per atom
SG   P4/mmm, No. 123
Density   10.73 g/cm³
Total magnetic moment   0.00 μB per cell

```
Ni2HgSe
1.0
-4.406 -0.375 0.412
0.557 -3.056 3.179
0.010 2.244 2.155
Se Ni Hg
1 2 1
Cartesian
-2.198 0.934 1.283 Se
0.000 0.000 0.000 Ni
-1.924 -1.716 1.795 Ni
0.284 -0.406 2.667 Hg
```